First-principles (GGA-PBE) data for crystalline BeSiAs2 at its relaxed geometry, as listed in Alexandria.

Results
The calculation puts the total energy at -4.063 eV/atom. The symmetry is Pmmm, No. 47. Its energy above the most stable polymorph in this dataset is 767 meV/atom.

Structure (POSCAR):
```
BeSiAs2
1.0
-1.348 -0.677 -3.262
0.762 -5.160 0.757
-3.179 -0.269 1.370
Be As Si
1 2 1
Direct
0.500 0.000 0.500
0.000 0.000 0.000
0.500 0.500 0.000
0.000 0.500 0.500
```